Entry 1:
Cu2HgCl after structural relaxation, computed with PBE-GGA.

Properties
Spin magnetization: 0.0 μB/f.u.
Distance to the lowest polymorph of the same formula: 0.227 eV/atom
Raw total energy: -9.9 eV/cell
Uncorrected formation energy: 118 meV per atom
Theoretical density: 8.07 Mg/m³

```
4
Lattice="-2.565 -2.067 -0.717 2.942 0.050 -1.646 2.942 -5.419 5.093" Properties=species:S:1:pos:R:3 pbc="T T T"
Hg 0.924 -2.363 0.092
Cu 2.892 -5.327 5.007
Cu 1.521 -2.801 2.633
Cl 2.395 -5.072 2.639
```



Entry 2:
Cu3HgCl8 after structural relaxation, computed with PBE-GGA.

Properties
Spin magnetization: 0.5 μB/f.u.
Raw total energy: -32.8 eV/cell
Uncorrected formation energy: -456 meV per atom
Theoretical density: 3.34 Mg/m³

```
12
Lattice="-2.832 -2.567 -0.720 0.037 2.647 -9.586 7.341 -5.759 2.163" Properties=species:S:1:pos:R:3 pbc="T T T"
Cu -0.928 0.365 -8.158
Cu 0.384 -2.695 -2.410
Cu 5.405 -5.929 -0.120
Cl 0.290 -3.193 -0.263
Cl 3.286 -6.357 -0.767
Cl -0.611 -1.220 -3.753
Cl 5.389 -3.846 -7.485
Cl 1.006 0.851 -6.993
Cl 1.512 -2.812 -6.431
Cl 2.626 -2.175 -2.573
Cl 5.116 -4.445 -4.274
Hg 3.779 -2.672 -5.341
```